(P)
# Pm2Sm5Tm2

A relaxed structure of Pm2Sm5Tm2 (PBE, the Alexandria database).

## Properties
Symmetry = P-1 (2)

abc: 6.245 9.542 8.809
angles: 72.09 118.09 139.93
Sites, in units of the cell vectors:
Pm 0.444 0.777 0.555
Pm 0.556 0.223 0.445
Sm 0.774 0.111 0.220
Sm 0.226 0.889 0.780
Sm 0.337 0.334 0.670
Sm 0.663 0.666 0.330
Sm 0.000 0.000 0.000
Tm 0.114 0.445 0.891
Tm 0.886 0.555 0.109

(Q)
# Pm2Sm5Tm2

A relaxed structure of Pm2Sm5Tm2 (PBE, the Alexandria database).

## Properties
Symmetry = Ima2 (46)

abc: 11.875 6.802 10.125
angles: 109.63 125.90 90.00
Sites, in units of the cell vectors:
Pm 0.129 0.685 0.253
Pm 0.871 0.432 0.747
Pm 0.624 0.185 0.253
Pm 0.376 0.932 0.747
Sm 0.196 0.657 0.895
Sm 0.804 0.761 0.105
Sm 0.199 0.157 0.895
Sm 0.801 0.261 0.105
Sm 0.378 0.024 0.287
Sm 0.622 0.737 0.713
Sm 0.408 0.524 0.287
Sm 0.592 0.237 0.713
Sm 0.006 0.659 0.500
Sm 0.994 0.159 0.500
Tm 0.000 0.029 0.000
Tm 0.500 0.529 0.000
Tm 0.259 0.352 0.500
Tm 0.741 0.852 0.500

Consider the structures shown above. The least stable of them is (Q).